! TmZrMnCu PBE relaxed; values from VASP
! - DFT total energy (eV per atom) = -6.558
! - DFT formation energy (meV per atom) = 14
! - DOS(E_F) (states/eV per atom) = 0.75
&SYSTEM
  ibrav = 0, nat = 4, ntyp = 4
/
ATOMIC_SPECIES
Mn 54.94 Mn.upf
Tm 168.93 Tm.upf
Cu 63.55 Cu.upf
Zr 91.22 Zr.upf
CELL_PARAMETERS angstrom
4.645 0.000 0.000
2.322 4.023 0.000
2.322 1.341 3.793
ATOMIC_POSITIONS angstrom
Mn 6.967 4.023 2.844
Tm 0.000 0.000 0.000
Cu 2.322 1.341 0.948
Zr 4.645 2.682 1.896